Crystalline InSb2Se at its relaxed geometry. Source: the Alexandria database, functional GGA-PBE.

Summary:
raw total energy = -15.18 eV per formula unit
uncorrected formation energy = -0.18 eV/atom
Fermi-level density of states = 2.34 states/eV per cell

POSCAR file:
```
InSb2Se
1.0
4.178 0.000 0.000
2.086 3.621 0.000
2.044 1.189 7.820
In Sb Se
1 2 1
Cartesian
0.000 0.000 0.000
4.147 2.407 3.844
6.239 3.616 5.499
2.089 1.208 1.370
```